1.
This record from OQMD describes a relaxed structure of GdTm2Ga3Si2Ni. The functional is PBE-GGA.

M_tot: 0.0 μB/f.u.
Total energy: -5.029 eV per atom
Calculated volume: 334.4 Å³/cell

a b c (Å): 4.1273 11.9029 6.8073
angles (deg): 90.00 90.00 90.00
Space group Amm2 (No. 38)
Unique sites:
Gd (0.0000, 0.0000, 0.0000) [2 per cell]
Tm (0.0000, 0.2019, 0.3934) [4 per cell]
Ga (0.5000, 0.0000, 0.3589) [2 per cell]
Ga (0.5000, 0.1186, 0.7110) [4 per cell]
Si (0.5000, 0.1695, 0.0952) [4 per cell]
Ni (0.0000, 0.0000, 0.5884) [2 per cell]

***

2.
This record from OQMD describes a relaxed structure of SmGd2Ga3Ni3. The functional is PBE-GGA.

M_tot: 0.1 μB/f.u.
Total energy: -5.032 eV per atom
Calculated volume: 332.4 Å³/cell

a b c (Å): 3.8026 12.2966 7.1089
angles (deg): 90.00 90.00 90.00
Space group Amm2 (No. 38)
Unique sites:
Sm (0.0000, 0.0000, 0.0000) [2 per cell]
Gd (0.0000, 0.2066, 0.3790) [4 per cell]
Ga (0.5000, 0.0000, 0.3448) [2 per cell]
Ga (0.5000, 0.1226, 0.7060) [4 per cell]
Ni (0.0000, 0.0000, 0.5850) [2 per cell]
Ni (0.5000, 0.1681, 0.0862) [4 per cell]

***

3.
This record from OQMD describes a relaxed structure of TbGdGa4Ni2. The functional is PBE-GGA.

M_tot: 0.0 μB/f.u.
Total energy: -4.714 eV per atom
Calculated volume: 281.7 Å³/cell

a b c (Å): 6.6933 4.1260 10.1994
angles (deg): 90.00 90.00 90.00
Space group Amm2 (No. 38)
Unique sites:
Tb (0.0000, 0.0000, 0.0000) [2 per cell]
Gd (0.5000, 0.0000, 0.8593) [2 per cell]
Ga (0.1951, 0.0000, 0.2836) [4 per cell]
Ga (0.3041, 0.0000, 0.5754) [4 per cell]
Ni (0.0000, 0.0000, 0.7173) [2 per cell]
Ni (0.5000, 0.0000, 0.1420) [2 per cell]

***

4.
This record from OQMD describes a relaxed structure of GdZrGa2Ni4. The functional is PBE-GGA.

M_tot: 0.0 μB/f.u.
Total energy: -5.749 eV per atom
Calculated volume: 125.6 Å³/cell

a b c (Å): 4.1320 4.1320 8.4955
angles (deg): 90.00 90.00 120.00
Space group P-6m2 (No. 187)
Unique sites:
Gd (0.0000, 0.0000, 0.0000) [1 per cell]
Zr (0.3333, 0.6667, 0.5000) [1 per cell]
Ga (0.6667, 0.3333, 0.2617) [2 per cell]
Ni (0.0000, 0.0000, 0.3418) [2 per cell]
Ni (0.3333, 0.6667, 0.1897) [2 per cell]

***

5.
This record from OQMD describes a relaxed structure of GdNpGa. The functional is PBE-GGA.

M_tot: 5.1 μB/f.u.
Total energy: -6.566 eV per atom
Calculated volume: 344.5 Å³/cell

a b c (Å): 7.0103 7.0103 7.0103
angles (deg): 90.00 90.00 90.00
Space group F-43m (No. 216)
Unique sites:
Gd (0.0000, 0.0000, 0.0000) [4 per cell]
Np (0.0000, 0.0000, 0.5000) [4 per cell]
Ga (0.2500, 0.2500, 0.2500) [4 per cell]

***

6.
This record from OQMD describes a relaxed structure of Gd2GaO4. The functional is PBE-GGA.

M_tot: 0.0 μB/f.u.
Total energy: -7.247 eV per atom
Calculated volume: 784.0 Å³/cell

a b c (Å): 9.2209 9.2209 9.2209
angles (deg): 90.00 90.00 90.00
Space group Fd-3m (No. 227, origin choice 2)
Unique sites:
Gd (0.0000, 0.0000, 0.0000) [16 per cell]
Ga (0.1250, 0.1250, 0.6250) [8 per cell]
O (0.0061, 0.0061, 0.7439) [32 per cell]

***

7.
This record from OQMD describes a relaxed structure of Gd3GaO6. The functional is PBE-GGA.

M_tot: 0.0 μB/f.u.
Total energy: -7.814 eV per atom
Calculated volume: 545.3 Å³/cell

a b c (Å): 8.9371 11.1984 5.4485
angles (deg): 90.00 90.00 90.00
Space group Cmc2_1 (No. 36)
Unique sites:
Gd (0.0000, 0.1031, 0.0000) [4 per cell]
Gd (0.1925, 0.3945, 0.9536) [8 per cell]
Ga (0.0000, 0.3073, 0.4225) [4 per cell]
O (0.0000, 0.2835, 0.7574) [4 per cell]
O (0.0000, 0.4614, 0.2816) [4 per cell]
O (0.1580, 0.2374, 0.2458) [8 per cell]
O (0.1597, 0.0152, 0.7252) [8 per cell]

***

8.
This record from OQMD describes a relaxed structure of Gd2Ga2O5. The functional is PBE-GGA.

M_tot: 0.0 μB/f.u.
ΔE to the lowest computed polymorph: 0.0 kJ/mol of formula units
Total energy: -6.741 eV per atom
Calculated volume: 103.8 Å³/cell

a b c (Å): 3.8907 3.8907 6.8572
angles (deg): 90.00 90.00 90.00
Space group P4/mmm (No. 123)
Unique sites:
Gd (0.0000, 0.0000, 0.0000) [1 per cell]
Gd (0.0000, 0.0000, 0.5000) [1 per cell]
Ga (0.5000, 0.5000, 0.2076) [2 per cell]
O (0.0000, 0.5000, 0.2365) [4 per cell]
O (0.5000, 0.5000, 0.5000) [1 per cell]